Cr3PdF: relaxed, PBE with a Hubbard U.

Results
Its distance to the lowest polymorph of the same formula is 606 meV per atom. Its total energy is -5.363 eV/atom. The density of states at the Fermi level comes out at 1.301 states/eV per cell. The size of the total moment is 14.87 μB/cell.

Lattice parameters (Å, degrees): 5.0630 5.0630 5.0630 90.00 90.00 90.00
Closest atoms and distances in Å follow each position.
Fractional positions:
Cr  0.0000  0.5000  0.0000  2 Pd 2.53
Cr  0.0000  0.0000  0.5000  2 Pd 2.53
Cr  0.5000  0.0000  0.0000  2 Pd 2.53
Pd  0.0000  0.0000  0.0000  6 Cr 2.53
F  0.5000  0.5000  0.5000  12 Cr 3.58